# 1
## ErZn9Cd2 (PBE)

Data for an optimized crystal structure of ErZn9Cd2.

Properties
- V: 17.0 Å³ per atom
- Electronic total energy: -19.2 eV/cell
- ΔE_f: -0.110 eV/atom

a b c (Å): 8.933 8.933 8.933
angles (deg): 34.54 34.54 34.54
Element x y z (fractional)
1 Er 0.000 0.000 0.000
2 Zn 0.081 0.586 0.586
3 Zn 0.333 0.333 0.333
4 Zn 0.414 0.414 0.919
5 Zn 0.414 0.919 0.414
6 Zn 0.500 0.500 0.500
7 Zn 0.586 0.081 0.586
8 Zn 0.586 0.586 0.081
9 Zn 0.667 0.667 0.667
10 Zn 0.919 0.414 0.414
11 Cd 0.138 0.138 0.138
12 Cd 0.862 0.862 0.862

---

# 2
## P2PdNO (PBE)

Data for an optimized crystal structure of P2PdNO.

Properties
- V: 11.7 Å³ per atom
- Electronic total energy: -25.1 eV/cell
- Energy above the most stable polymorph in this dataset: 0.0 meV per atom

a b c (Å): 4.019 4.019 3.634
angles (deg): 90.00 90.00 90.00
Element x y z (fractional)
1 P 0.000 0.500 0.000
2 P 0.500 0.000 0.000
3 Pd 0.000 0.000 0.500
4 N 0.500 0.500 0.000
5 O 0.500 0.500 0.500